# 1
## RbMnGaF6 (PBE with a Hubbard U)

Data for a relaxed structure of RbMnGaF6.

The value obtained for the theoretical density is 3.396 g/cm³. For the total energy, the calculation gives -47.447 eV for the cell shown.

The space group is P312 (No. 149) and the conventional cell measures 5.5238, 5.5238 and 5.9998 Å, with angles of 90.00, 90.00 and 120.00 degrees. The asymmetric unit holds Rb at (0.0000, 0.0000, 0.0000), Mn at (0.3333, 0.6667, 0.5000), Ga at (0.6667, 0.3333, 0.5000) and F at (0.3974, 0.0300, 0.6834).

=====

# 2
## Mn2GaReF (PBE with a Hubbard U)

Data for a relaxed structure of Mn2GaReF.

The value obtained for the theoretical density is 7.875 g/cm³. For the total energy, the calculation gives -30.042 eV for the cell shown.

The space group is P4/mmm (No. 123) and the conventional cell measures 4.2746, 4.2746 and 4.4406 Å, with angles of 90.00, 90.00 and 90.00 degrees. The asymmetric unit holds Mn at (0.0000, 0.5000, 0.0000), Ga at (0.0000, 0.0000, 0.5000), Re at (0.5000, 0.5000, 0.5000) and F at (0.5000, 0.5000, 0.0000).

=====

# 3
## MnGaRe2F (PBE with a Hubbard U)

Data for a relaxed structure of MnGaRe2F.

The value obtained for the theoretical density is 10.381 g/cm³. For the total energy, the calculation gives -26.921 eV for the cell shown.

The space group is P4/mmm (No. 123) and the conventional cell measures 4.7817, 4.7817 and 3.6102 Å, with angles of 90.00, 90.00 and 90.00 degrees. The asymmetric unit holds Mn at (0.0000, 0.0000, 0.0000), Ga at (0.5000, 0.5000, 0.5000), Re at (0.0000, 0.5000, 0.5000) and F at (0.5000, 0.5000, 0.0000).

=====

# 4
## MnGaSbF2 (PBE with a Hubbard U)

Data for a relaxed structure of MnGaSbF2.

The value obtained for the theoretical density is 4.202 g/cm³. For the total energy, the calculation gives -22.452 eV for the cell shown.

The space group is P4/mmm (No. 123) and the conventional cell measures 4.4010, 4.4010 and 5.8028 Å, with angles of 90.00, 90.00 and 90.00 degrees. The asymmetric unit holds Mn at (0.0000, 0.0000, 0.0000), Ga at (0.5000, 0.5000, 0.0000), Sb at (0.0000, 0.0000, 0.5000) and F at (0.0000, 0.5000, 0.5000).

=====

# 5
## MnTlGa2F8 (PBE with a Hubbard U)

Data for a relaxed structure of MnTlGa2F8.

The value obtained for the theoretical density is 4.396 g/cm³. For the total energy, the calculation gives -174.868 eV for the cell shown.

The space group is R-3 (No. 148, hexagonal axes) and the conventional cell measures 5.5205, 5.5205 and 23.6487 Å, with angles of 90.00, 90.00 and 120.00 degrees. The asymmetric unit holds Mn at (0.0000, 0.0000, 0.0000), Tl at (0.0000, 0.0000, 0.5000), Ga at (0.0000, 0.0000, 0.2602), F at (0.0000, 0.0000, 0.1831) and F at (0.0042, 0.3541, 0.6144).

=====

# 6
## GaMo3F (PBE with a Hubbard U)

Data for a relaxed structure of GaMo3F.

The offset from the most stable computed form is 0.000 eV per atom. The value obtained for the theoretical density is 8.147 g/cm³.

The space group is Pm-3m (No. 221) and the conventional cell measures 4.2496, 4.2496 and 4.2496 Å, with angles of 90.00, 90.00 and 90.00 degrees. The asymmetric unit holds Ga at (0.0000, 0.0000, 0.0000), Mo at (0.0000, 0.5000, 0.5000) and F at (0.5000, 0.5000, 0.5000).

=====

# 7
## GaMo2F (PBE with a Hubbard U)

Data for a relaxed structure of GaMo2F.

The offset from the most stable computed form is 0.397 eV per atom. The value obtained for the theoretical density is 7.988 g/cm³.

The space group is Fm-3m (No. 225) and the conventional cell measures 6.1564, 6.1564 and 6.1564 Å, with angles of 90.00, 90.00 and 90.00 degrees. The asymmetric unit holds Ga at (0.0000, 0.0000, 0.0000), Mo at (0.2500, 0.2500, 0.2500) and F at (0.0000, 0.0000, 0.5000).

=====

# 8
## Ga2MoF11 (PBE with a Hubbard U)

Data for a relaxed structure of Ga2MoF11.

The value obtained for the theoretical density is 3.534 g/cm³. For the total energy, the calculation gives -268.089 eV for the cell shown.

The space group is Ibam (No. 72) and the conventional cell measures 5.9801, 11.0712 and 12.6163 Å, with angles of 90.00, 90.00 and 90.00 degrees. The asymmetric unit holds Ga at (0.1797, 0.1414, 0.0000), Mo at (0.0000, 0.5000, 0.2500), F at (0.0000, 0.0000, 0.0000), F at (0.0617, 0.2451, 0.5000), F at (0.1661, 0.3851, 0.1745) and F at (0.2407, 0.3962, 0.3658).

=====

# 9
## GaMoF6 (PBE with a Hubbard U)

Data for a relaxed structure of GaMoF6.

The value obtained for the theoretical density is 4.201 g/cm³. For the total energy, the calculation gives -126.548 eV for the cell shown.

The space group is R-3 (No. 148, hexagonal axes) and the conventional cell measures 5.2315, 5.2315 and 13.9909 Å, with angles of 90.00, 90.00 and 120.00 degrees. The asymmetric unit holds Ga at (0.0000, 0.0000, 0.0000), Mo at (0.0000, 0.0000, 0.5000) and F at (0.0180, 0.3872, 0.7459).

=====

# 10
## Ga2MoF8 (PBE with a Hubbard U)

Data for a relaxed structure of Ga2MoF8.

The value obtained for the theoretical density is 4.268 g/cm³. For the total energy, the calculation gives -53.588 eV for the cell shown.

The space group is P-3m1 (No. 164) and the conventional cell measures 6.5774, 6.5774 and 4.0228 Å, with angles of 90.00, 90.00 and 120.00 degrees. The asymmetric unit holds Ga at (0.3333, 0.6667, 0.2435), Mo at (0.0000, 0.0000, 0.0000), F at (0.1644, 0.3288, 0.2521) and F at (0.3333, 0.6667, 0.7436).

=====

# 11
## GaMo2F (PBE with a Hubbard U)

Data for a relaxed structure of GaMo2F.

The offset from the most stable computed form is 0.000 eV per atom. The value obtained for the theoretical density is 5.914 g/cm³.

The space group is I-42d (No. 122) and the conventional cell measures 6.9313, 6.9313 and 6.5595 Å, with angles of 90.00, 90.00 and 90.00 degrees. The asymmetric unit holds Ga at (0.0000, 0.0000, 0.0000), Mo at (0.2125, 0.7500, 0.6250) and F at (0.0000, 0.0000, 0.5000).

=====

# 12
## GaMoF3 (PBE with a Hubbard U)

Data for a relaxed structure of GaMoF3.

The offset from the most stable computed form is 0.298 eV per atom. The value obtained for the theoretical density is 4.838 g/cm³.

The space group is Pm-3m (No. 221) and the conventional cell measures 4.2438, 4.2438 and 4.2438 Å, with angles of 90.00, 90.00 and 90.00 degrees. The asymmetric unit holds Ga at (0.0000, 0.0000, 0.0000), Mo at (0.5000, 0.5000, 0.5000) and F at (0.0000, 0.0000, 0.5000).

=====

# 13
## Ga2Mo2F (PBE with a Hubbard U)

Data for a relaxed structure of Ga2Mo2F.

The offset from the most stable computed form is 0.055 eV per atom. The value obtained for the theoretical density is 6.502 g/cm³.

The space group is I4/mmm (No. 139) and the conventional cell measures 3.6093, 3.6093 and 13.7351 Å, with angles of 90.00, 90.00 and 90.00 degrees. The asymmetric unit holds Ga at (0.0000, 0.0000, 0.0871), Mo at (0.0000, 0.5000, 0.2500) and F at (0.0000, 0.0000, 0.5000).

=====

# 14
## Ga2Mo2F (PBE with a Hubbard U)

Data for a relaxed structure of Ga2Mo2F.

The offset from the most stable computed form is 0.000 eV per atom. The value obtained for the theoretical density is 6.526 g/cm³.

The space group is P4/mbm (No. 127) and the conventional cell measures 7.5285, 7.5285 and 3.1454 Å, with angles of 90.00, 90.00 and 90.00 degrees. The asymmetric unit holds Ga at (0.1785, 0.3215, 0.0000), Mo at (0.1161, 0.6161, 0.5000) and F at (0.0000, 0.0000, 0.0000).

=====

# 15
## GaMoF3 (PBE with a Hubbard U)

Data for a relaxed structure of GaMoF3.

The offset from the most stable computed form is 0.000 eV per atom. The value obtained for the theoretical density is 4.307 g/cm³.

The space group is Pm-3m (No. 221) and the conventional cell measures 4.4112, 4.4112 and 4.4112 Å, with angles of 90.00, 90.00 and 90.00 degrees. The asymmetric unit holds Ga at (0.0000, 0.0000, 0.0000), Mo at (0.5000, 0.5000, 0.5000) and F at (0.0000, 0.5000, 0.5000).

=====

# 16
## Na2GaMoF8 (PBE with a Hubbard U)

Data for a relaxed structure of Na2GaMoF8.

The value obtained for the theoretical density is 3.576 g/cm³. For the total energy, the calculation gives -59.892 eV for the cell shown.

The space group is P2/m (No. 10) and the conventional cell measures 5.0845, 6.5174 and 5.0990 Å, with angles of 90.00, 92.32 and 90.00 degrees. The asymmetric unit holds Na at (0.0000, 0.2420, 0.0000), Ga at (0.5000, 0.0000, 0.5000), Mo at (0.5000, 0.5000, 0.5000), F at (0.2109, 0.5000, 0.2060), F at (0.2397, 0.0000, 0.2353) and F at (0.3231, 0.2351, 0.6723).

=====

# 17
## NbGa2MoF (PBE with a Hubbard U)

Data for a relaxed structure of NbGa2MoF.

The value obtained for the theoretical density is 6.702 g/cm³. For the total energy, the calculation gives -24.490 eV for the cell shown.

The space group is P4/mmm (No. 123) and the conventional cell measures 4.4910, 4.4910 and 4.2664 Å, with angles of 90.00, 90.00 and 90.00 degrees. The asymmetric unit holds Nb at (0.0000, 0.0000, 0.0000), Ga at (0.0000, 0.5000, 0.5000), Mo at (0.5000, 0.5000, 0.0000) and F at (0.0000, 0.0000, 0.5000).

=====

# 18
## GaMoO2F (PBE with a Hubbard U)

Data for a relaxed structure of GaMoO2F.

The value obtained for the theoretical density is 5.130 g/cm³. For the total energy, the calculation gives -29.147 eV for the cell shown.

The space group is P4/mmm (No. 123) and the conventional cell measures 4.0472, 4.0472 and 4.2813 Å, with angles of 90.00, 90.00 and 90.00 degrees. The asymmetric unit holds Ga at (0.0000, 0.0000, 0.0000), Mo at (0.5000, 0.5000, 0.5000), O at (0.0000, 0.5000, 0.5000) and F at (0.5000, 0.5000, 0.0000).

=====

# 19
## GaMoO2F (PBE with a Hubbard U)

Data for a relaxed structure of GaMoO2F.

The value obtained for the theoretical density is 6.085 g/cm³. For the total energy, the calculation gives -27.732 eV for the cell shown.

The space group is P4/mmm (No. 123) and the conventional cell measures 3.9092, 3.9092 and 3.8690 Å, with angles of 90.00, 90.00 and 90.00 degrees. The asymmetric unit holds Ga at (0.0000, 0.0000, 0.0000), Mo at (0.5000, 0.5000, 0.5000), O at (0.0000, 0.5000, 0.0000) and F at (0.0000, 0.0000, 0.5000).

=====

# 20
## GaMoPF2 (PBE with a Hubbard U)

Data for a relaxed structure of GaMoPF2.

The value obtained for the theoretical density is 3.907 g/cm³. For the total energy, the calculation gives -23.183 eV for the cell shown.

The space group is P4/mmm (No. 123) and the conventional cell measures 4.0654, 4.0654 and 6.0345 Å, with angles of 90.00, 90.00 and 90.00 degrees. The asymmetric unit holds Ga at (0.0000, 0.0000, 0.0000), Mo at (0.0000, 0.0000, 0.5000), P at (0.5000, 0.5000, 0.0000) and F at (0.0000, 0.5000, 0.5000).